Tm3BiPd: optimized geometry, PBE-GGA.

a = 15.4614 Å, b = 4.1362 Å, c = 8.5202 Å
α = 90.00°, β = 92.11°, γ = 90.00°
With the nearest neighbours (Å) after each atom.
Space group C2/m (No. 12)
Asymmetric unit:
Tm: 0.0463 0.0000 0.2103  1 Pd 2.92
Tm: 0.1060 0.5000 0.5514  3 Pd 2.78-3.01
Tm: 0.2469 0.5000 0.2123  2 Pd 2.84, 1 Bi 3.15
Bi: 0.1104 0.5000 0.9282  8 Tm 3.15-3.37
Pd: 0.1995 0.0000 0.4210  6 Tm 2.78-3.01, 2 Pd 2.89

Calculated values
theoretical density = 10.03 g/cm³
total moment = 0.000 μB per formula unit
E_form = -648 meV/atom
D(E_F) = 0.990 states/eV per atom
energy = -5.15 eV per atom

---

Th6GeP2Se3: optimized geometry, PBE-GGA.

a = 18.3765 Å, b = 4.2155 Å, c = 8.4033 Å
α = 90.00°, β = 103.72°, γ = 90.00°
With the nearest neighbours (Å) after each atom.
Space group C2/m (No. 12)
Asymmetric unit:
Th: 0.0068 0.0000 0.2482  1 P 2.88, 2 Ge 2.95, 3 Se 3.01-3.05
Th: 0.1658 0.5000 0.0983  2 P 2.89, 1 Ge 2.96, 3 Se 3.04-3.06
Th: 0.1709 0.5000 0.5716  3 P 2.87-2.89, 3 Se 3.05-3.07
Ge: 0.0000 0.5000 0.0000  6 Th 2.95-2.96
P: 0.1682 0.0000 0.3347  6 Th 2.87-2.89
Se: 0.0000 0.5000 0.5000  6 Th 3.01-3.05
Se: 0.1642 0.0000 0.8327  6 Th 3.04-3.07

Calculated values
theoretical density = 9.26 g/cm³
total moment = 0.000 μB per formula unit
D(E_F) = 0.676 states/eV per atom
energy = -7.34 eV per atom
formation energy from raw total energies = -17.637 eV per formula unit

---

Pr6Nd8Y: optimized geometry, PBE-GGA.

a = 9.3690 Å, b = 9.3690 Å, c = 21.2722 Å
α = 90.00°, β = 90.00°, γ = 120.00°
With the nearest neighbours (Å) after each atom.
Space group R-3 (No. 148, hexagonal axes)
Asymmetric unit:
Pr: 0.0524 0.2469 0.2082  4 Nd 3.49-3.86, 1 Y 3.58, 4 Pr 3.66-3.89
Nd: 0.0000 0.0000 0.0775  4 Nd 3.30-3.53, 3 Pr 3.49
Nd: 0.0803 0.5584 0.3065  3 Pr 3.49-3.86, 5 Nd 3.53-3.57, 1 Y 3.62
Y: 0.0000 0.0000 0.5000  6 Pr 3.58, 6 Nd 3.62

Calculated values
theoretical density = 6.43 g/cm³
total moment = 0.000 μB per formula unit
E_form = 107 meV/atom
D(E_F) = 1.508 states/eV per atom
relative energy among the computed polymorphs = 0 meV per atom
energy = -4.78 eV per atom

---

Q: What is the energy in the first record?
A: -5.15 eV per atom

---

Q: Among the records above, which one has the highest energy?
A: Pr6Nd8Y

---

Q: Which of these has the lowest theoretical density?
A: Pr6Nd8Y